Density functional theory data (PBE-GGA) for crystalline ThCo3Si3 at its relaxed geometry.

Geometry as POSCAR:
```
ThCo3Si3
1.0
6.174 0.000 0.000
0.000 6.174 0.000
0.000 0.000 6.174
Th Co Si
2 6 6
direct
0.000 0.000 0.000
0.500 0.500 0.500
0.000 0.250 0.500
0.000 0.750 0.500
0.250 0.500 0.000
0.500 0.000 0.250
0.500 0.000 0.750
0.750 0.500 0.000
0.000 0.500 0.250
0.000 0.500 0.750
0.250 0.000 0.500
0.500 0.250 0.000
0.500 0.750 0.000
0.750 0.000 0.500
```

Computed properties:
**ΔE_f (raw)**: -154 kJ/mol of formula units
**Total DFT energy (no corrections)**: -0.2446 Ha/atom
**M_tot**: 0.0 μB per cell
**Distance to the lowest polymorph of the same formula**: 0.073 eV per atom